# 1
# BiRhSe2, relaxed, DFT PBE
# - Final energy: -58.32 eV per cell
# - Crystal system: trigonal
data_BiRhSe2
_cell_length_a 3.7025
_cell_length_b 3.7025
_cell_length_c 25.4745
_cell_angle_alpha 90.00
_cell_angle_beta 90.00
_cell_angle_gamma 120.00
_symmetry_space_group_name_H-M 'R -3 m'
_symmetry_Int_Tables_number 166
_symmetry_space_group_name_Hall '-R 3 2"'
loop_
_atom_site_label
_atom_site_type_symbol
_atom_site_fract_x
_atom_site_fract_y
_atom_site_fract_z
_atom_site_occupancy
Bi1 Bi 0.0000 0.0000 0.0000 1
Rh1 Rh 0.0000 0.0000 0.5000 1
Se1 Se 0.0000 0.0000 0.1162 1

# 2
# Th2Al4Pt3Rh, relaxed, DFT PBE
# - Energy relative to the elements: -1056 kJ/mol of formula units
# - Final energy: -66.23 eV per cell
# - Crystal system: tetragonal
data_Th2Al4Pt3Rh
_cell_length_a 4.2688
_cell_length_b 4.2688
_cell_length_c 10.4276
_cell_angle_alpha 90.00
_cell_angle_beta 90.00
_cell_angle_gamma 90.00
_symmetry_space_group_name_H-M 'P -4 m 2'
_symmetry_Int_Tables_number 115
loop_
_symmetry_equiv_pos_as_xyz
'x,y,z'
'y,-x,-z'
'-x,-y,z'
'-y,x,-z'
'-x,y,z'
'-y,-x,-z'
'x,-y,z'
'y,x,-z'
loop_
_atom_site_label
_atom_site_type_symbol
_atom_site_fract_x
_atom_site_fract_y
_atom_site_fract_z
_atom_site_occupancy
Th1 Th 0.0000 0.5000 0.2503 1
Al1 Al 0.0000 0.0000 0.0000 1
Al2 Al 0.0000 0.5000 0.6258 1
Al3 Al 0.5000 0.5000 0.0000 1
Pt1 Pt 0.0000 0.5000 0.8636 1
Pt2 Pt 0.5000 0.5000 0.5000 1
Rh1 Rh 0.0000 0.0000 0.5000 1

# 3
# TiCu2I, relaxed, DFT PBE
# - Final energy: -63.64 eV per cell
# - Crystal system: tetragonal
# - Energy relative to the lowest polymorph listed for this composition: 0 meV/atom
data_TiCu2I
_cell_length_a 7.4735
_cell_length_b 7.4735
_cell_length_c 5.2836
_cell_angle_alpha 90.00
_cell_angle_beta 90.00
_cell_angle_gamma 90.00
_symmetry_space_group_name_H-M 'I -4 2 d'
_symmetry_Int_Tables_number 122
_symmetry_space_group_name_Hall 'I -4 2bw'
loop_
_atom_site_label
_atom_site_type_symbol
_atom_site_fract_x
_atom_site_fract_y
_atom_site_fract_z
_atom_site_occupancy
Ti1 Ti 0.0000 0.0000 0.0000 1
Cu1 Cu 0.2451 0.2500 0.1250 1
I1 I 0.0000 0.0000 0.5000 1

# 4
# TaW2Cl, relaxed, DFT PBE
# - Final energy: -71.17 eV per cell
# - Crystal system: tetragonal
# - Energy relative to the lowest polymorph listed for this composition: 769 meV/atom
data_TaW2Cl
_cell_length_a 3.7463
_cell_length_b 3.7463
_cell_length_c 9.6007
_cell_angle_alpha 90.00
_cell_angle_beta 90.00
_cell_angle_gamma 90.00
_symmetry_space_group_name_H-M 'I 4/m m m'
_symmetry_Int_Tables_number 139
_symmetry_space_group_name_Hall '-I 4 2'
loop_
_atom_site_label
_atom_site_type_symbol
_atom_site_fract_x
_atom_site_fract_y
_atom_site_fract_z
_atom_site_occupancy
Ta1 Ta 0.0000 0.0000 0.0000 1
W1 W 0.0000 0.5000 0.2500 1
Cl1 Cl 0.0000 0.0000 0.5000 1

# 5
# InCoIr2, relaxed, DFT PBE
# - Energy relative to the elements: 55 kJ/mol of formula units
# - Final energy: -53.99 eV per cell
# - Crystal system: tetragonal
data_InCoIr2
_cell_length_a 3.9590
_cell_length_b 3.9590
_cell_length_c 7.7147
_cell_angle_alpha 90.00
_cell_angle_beta 90.00
_cell_angle_gamma 90.00
_symmetry_space_group_name_H-M 'I 4/m m m'
_symmetry_Int_Tables_number 139
_symmetry_space_group_name_Hall '-I 4 2'
loop_
_atom_site_label
_atom_site_type_symbol
_atom_site_fract_x
_atom_site_fract_y
_atom_site_fract_z
_atom_site_occupancy
In1 In 0.0000 0.0000 0.0000 1
Co1 Co 0.0000 0.0000 0.5000 1
Ir1 Ir 0.0000 0.5000 0.2500 1

# 6
# HfVPd2, relaxed, DFT PBE
# - Energy relative to the elements: -133 kJ/mol of formula units
# - Final energy: -123.33 eV per cell
# - Crystal system: cubic
# - Energy relative to the lowest polymorph listed for this composition: 61 meV/atom
data_HfVPd2
_cell_length_a 6.4713
_cell_length_b 6.4713
_cell_length_c 6.4713
_cell_angle_alpha 90.00
_cell_angle_beta 90.00
_cell_angle_gamma 90.00
_symmetry_space_group_name_H-M 'F m -3 m'
_symmetry_Int_Tables_number 225
_symmetry_space_group_name_Hall '-F 4 2 3'
loop_
_atom_site_label
_atom_site_type_symbol
_atom_site_fract_x
_atom_site_fract_y
_atom_site_fract_z
_atom_site_occupancy
Hf1 Hf 0.0000 0.0000 0.0000 1
V1 V 0.0000 0.0000 0.5000 1
Pd1 Pd 0.2500 0.2500 0.2500 1

# 7
# PmDy12Ho3, relaxed, DFT PBE
# - Energy relative to the elements: 29 kJ/mol of formula units
# - Final energy: -73.41 eV per cell
# - Crystal system: tetragonal
data_PmDy12Ho3
_cell_length_a 5.0135
_cell_length_b 5.0135
_cell_length_c 20.0396
_cell_angle_alpha 90.00
_cell_angle_beta 90.00
_cell_angle_gamma 90.00
_symmetry_space_group_name_H-M 'P 4/m m m'
_symmetry_Int_Tables_number 123
_symmetry_space_group_name_Hall '-P 4 2'
loop_
_atom_site_label
_atom_site_type_symbol
_atom_site_fract_x
_atom_site_fract_y
_atom_site_fract_z
_atom_site_occupancy
Pm1 Pm 0.0000 0.0000 0.0000 1
Dy1 Dy 0.0000 0.5000 0.1265 1
Dy2 Dy 0.0000 0.5000 0.3755 1
Dy3 Dy 0.5000 0.5000 0.0000 1
Dy4 Dy 0.5000 0.5000 0.2514 1
Dy5 Dy 0.5000 0.5000 0.5000 1
Ho1 Ho 0.0000 0.0000 0.2510 1
Ho2 Ho 0.0000 0.0000 0.5000 1

# 8
# H2ICl6, relaxed, DFT PBE
# - Final energy: -86.73 eV per cell
# - Crystal system: monoclinic
data_H2ICl6
_cell_length_a 13.1391
_cell_length_b 18.2271
_cell_length_c 5.3782
_cell_angle_alpha 90.00
_cell_angle_beta 94.29
_cell_angle_gamma 90.00
_symmetry_space_group_name_H-M 'C 1 2/c 1'
_symmetry_Int_Tables_number 15
loop_
_symmetry_equiv_pos_as_xyz
'x,y,z'
'-x,-y,-z'
'-x,y,-z+1/2'
'x,-y,z+1/2'
'x+1/2,y+1/2,z'
'-x+1/2,-y+1/2,-z'
'-x+1/2,y+1/2,-z+1/2'
'x+1/2,-y+1/2,z+1/2'
loop_
_atom_site_label
_atom_site_type_symbol
_atom_site_fract_x
_atom_site_fract_y
_atom_site_fract_z
_atom_site_occupancy
H1 H 0.1531 0.0163 0.1383 1
I1 I 0.0000 0.3189 0.2500 1
Cl1 Cl 0.0993 0.2233 0.4852 1
Cl2 Cl 0.1001 0.4142 0.4826 1
Cl3 Cl 0.1527 0.0628 0.9518 1

# 9
# LiTcRu2, relaxed, DFT PBE
# - Energy relative to the elements: 133 kJ/mol of formula units
# - Final energy: -58.91 eV per cell
# - Crystal system: orthorhombic
# - Energy relative to the lowest polymorph listed for this composition: 246 meV/atom
data_LiTcRu2
_cell_length_a 2.7887
_cell_length_b 4.4830
_cell_length_c 9.1966
_cell_angle_alpha 90.00
_cell_angle_beta 90.00
_cell_angle_gamma 90.00
_symmetry_space_group_name_H-M 'C m m 2'
_symmetry_Int_Tables_number 35
loop_
_symmetry_equiv_pos_as_xyz
'x,y,z'
'-x,-y,z'
'-x,y,z'
'x,-y,z'
'x+1/2,y+1/2,z'
'-x+1/2,-y+1/2,z'
'-x+1/2,y+1/2,z'
'x+1/2,-y+1/2,z'
loop_
_atom_site_label
_atom_site_type_symbol
_atom_site_fract_x
_atom_site_fract_y
_atom_site_fract_z
_atom_site_occupancy
Li1 Li 0.0000 0.0000 0.0000 1
Tc1 Tc 0.0000 0.5000 0.7393 1
Ru1 Ru 0.0000 0.0000 0.4963 1
Ru2 Ru 0.0000 0.5000 0.2480 1

# 10
# La3YW, relaxed, DFT PBE
# - Energy relative to the elements: 242 kJ/mol of formula units
# - Final energy: -31.70 eV per cell
# - Crystal system: cubic
# - Energy relative to the lowest polymorph listed for this composition: 0 meV/atom
data_La3YW
_cell_length_a 5.6613
_cell_length_b 5.6613
_cell_length_c 5.6613
_cell_angle_alpha 90.00
_cell_angle_beta 90.00
_cell_angle_gamma 90.00
_symmetry_space_group_name_H-M 'P m -3 m'
_symmetry_Int_Tables_number 221
_symmetry_space_group_name_Hall '-P 4 2 3'
loop_
_atom_site_label
_atom_site_type_symbol
_atom_site_fract_x
_atom_site_fract_y
_atom_site_fract_z
_atom_site_occupancy
La1 La 0.0000 0.0000 0.5000 1
Y1 Y 0.5000 0.5000 0.5000 1
W1 W 0.0000 0.0000 0.0000 1